Record 1
# LiPdI

An optimized crystal structure of LiPdI (GGA-PBE, Alexandria).

Lattice parameters (Å, degrees): 7.3794 4.2235 4.2235 90.93 90.00 90.00
Closest atoms and distances in Å follow each position.
Positions (direct):
Li1 0.2429 0.8447 0.6553  2 Pd 2.62, 1 I 2.77
Li2 0.7571 0.3447 0.1553  2 Pd 2.62, 1 I 2.77
Pd1 0.0000 0.2944 0.7056  2 Li 2.62, 2 I 2.75
Pd2 0.0000 0.7944 0.2056  2 Li 2.62, 2 I 2.75
I1 0.7136 0.8882 0.6118  2 Pd 2.75, 3 Li 2.77-2.99
I2 0.2864 0.3882 0.1118  2 Pd 2.75, 3 Li 2.77-2.99

Summary:
ΔE to the lowest computed polymorph ... 0.039 eV/atom
SG ... No. 39
ΔE_f (raw) ... -0.518 eV/atom

***

Record 2
# TlZnCd2Hg

An optimized crystal structure of TlZnCd2Hg (GGA-PBE, Alexandria).

Lattice parameters (Å, degrees): 5.1366 5.1366 5.3451 90.00 90.00 90.00
Closest atoms and distances in Å follow each position.
Positions (direct):
Cd1 0.5000 0.0000 0.0000  2 Zn 2.57
Cd2 0.0000 0.5000 0.0000  2 Zn 2.57
Tl1 0.5000 0.5000 0.5000  4 Hg 3.63, 8 Cd 3.71
Hg1 0.0000 0.0000 0.5000  2 Zn 2.67
Zn1 0.0000 0.0000 0.0000  4 Cd 2.57, 2 Hg 2.67

Summary:
ΔE to the lowest computed polymorph ... 0.000 eV/atom
SG ... No. 123
Formation energy ... 0.156 eV/atom

***

Record 3
# CeNpU2Sb4

An optimized crystal structure of CeNpU2Sb4 (GGA-PBE, Alexandria).

Lattice parameters (Å, degrees): 4.3505 7.8233 7.5490 108.69 90.00 90.00
Closest atoms and distances in Å follow each position.
Positions (direct):
Sb1 0.5000 0.2485 0.2529  3 U 3.10-3.12, 2 Np 3.13, 1 Ce 3.15
Sb2 0.0000 0.2465 0.7452  3 U 3.10-3.12, 1 Np 3.13, 2 Ce 3.15
Sb3 0.0000 0.7535 0.2548  3 U 3.10-3.12, 1 Np 3.13, 2 Ce 3.15
Sb4 0.5000 0.7515 0.7471  3 U 3.10-3.12, 2 Np 3.13, 1 Ce 3.15
U1 0.5000 0.0000 0.5000  6 Sb 3.10
U2 0.0000 0.5000 0.5000  6 Sb 3.12
Ce1 0.5000 0.5000 0.0000  6 Sb 3.15
Np1 0.0000 0.0000 0.0000  6 Sb 3.13

Summary:
SG ... No. 10
ΔE_f (raw) ... -0.378 eV/atom

***

Record 4
# PaZn4Ir

An optimized crystal structure of PaZn4Ir (GGA-PBE, Alexandria).

Lattice parameters (Å, degrees): 5.2074 5.2074 5.2074 60.00 60.00 60.00
Closest atoms and distances in Å follow each position.
Positions (direct):
Zn1 0.6236 0.6236 0.6236  6 Zn 2.57-2.63
Zn2 0.1292 0.6236 0.6236  6 Zn 2.57-2.63
Zn3 0.6236 0.1292 0.6236  6 Zn 2.57-2.63
Zn4 0.6236 0.6236 0.1292  6 Zn 2.57-2.63
Pa1 0.0000 0.0000 0.0000  12 Zn 3.06, 4 Ir 3.19
Ir1 0.2500 0.2500 0.2500  12 Zn 3.05, 4 Pa 3.19

Summary:
SG ... No. 216
Formation energy ... -0.083 eV/atom

***

Record 5
# Re3Pb

An optimized crystal structure of Re3Pb (GGA-PBE, Alexandria).

Lattice parameters (Å, degrees): 2.8265 2.8265 10.0276 90.00 90.00 115.41
Closest atoms and distances in Å follow each position.
Positions (direct):
Re1 0.5000 0.5000 0.2852  6 Re 2.63-2.83
Re2 0.0000 0.0000 0.5000  8 Re 2.63-2.83
Re3 0.5000 0.5000 0.7148  6 Re 2.63-2.83
Pb1 0.0000 0.0000 0.0000  6 Pb 2.83-3.02

Summary:
ΔE to the lowest computed polymorph ... 0.270 eV/atom
SG ... No. 65
Formation energy ... 0.899 eV/atom

***

Record 6
# MgTeCl2

An optimized crystal structure of MgTeCl2 (GGA-PBE, Alexandria).

Lattice parameters (Å, degrees): 8.1786 8.1786 8.1786 155.05 141.18 46.71
Closest atoms and distances in Å follow each position.
Positions (direct):
Te1 0.3890 0.8890 0.5000  2 Cl 2.77, 2 Mg 2.88
Cl1 0.6464 0.1464 0.5000  2 Mg 2.38
Cl2 0.9242 0.9242 0.0000  2 Te 2.77
Mg1 0.5404 0.5404 0.0000  2 Cl 2.38

Summary:
ΔE to the lowest computed polymorph ... 0.315 eV/atom
SG ... No. 44
ΔE_f (raw) ... -0.878 eV/atom

***

Please write out number 5 again, unchanged.
# Re3Pb

An optimized crystal structure of Re3Pb (GGA-PBE, Alexandria).

Lattice parameters (Å, degrees): 2.8265 2.8265 10.0276 90.00 90.00 115.41
Closest atoms and distances in Å follow each position.
Positions (direct):
Re1 0.5000 0.5000 0.2852  6 Re 2.63-2.83
Re2 0.0000 0.0000 0.5000  8 Re 2.63-2.83
Re3 0.5000 0.5000 0.7148  6 Re 2.63-2.83
Pb1 0.0000 0.0000 0.0000  6 Pb 2.83-3.02

Summary:
ΔE to the lowest computed polymorph ... 0.270 eV/atom
SG ... No. 65
Formation energy ... 0.899 eV/atom

***

Please write out number 6 again, unchanged.
# MgTeCl2

An optimized crystal structure of MgTeCl2 (GGA-PBE, Alexandria).

Lattice parameters (Å, degrees): 8.1786 8.1786 8.1786 155.05 141.18 46.71
Closest atoms and distances in Å follow each position.
Positions (direct):
Te1 0.3890 0.8890 0.5000  2 Cl 2.77, 2 Mg 2.88
Cl1 0.6464 0.1464 0.5000  2 Mg 2.38
Cl2 0.9242 0.9242 0.0000  2 Te 2.77
Mg1 0.5404 0.5404 0.0000  2 Cl 2.38

Summary:
ΔE to the lowest computed polymorph ... 0.315 eV/atom
SG ... No. 44
ΔE_f (raw) ... -0.878 eV/atom